Record 1
Material: Be3HgF
Method: DFT, SCAN
State: single point on PBEsol structure

a = 3.8235 Å, b = 3.8235 Å, c = 3.8235 Å
α = 90.00°, β = 90.00°, γ = 90.00°
Closest atoms and distances in Å follow each position.
Element x y z (fractional)
Be 0.0000 0.0000 0.5000  2 F 1.91
Be 0.0000 0.5000 0.0000  2 F 1.91
Be 0.5000 0.0000 0.0000  2 F 1.91
Hg 0.5000 0.5000 0.5000  12 Be 2.70
F 0.0000 0.0000 0.0000  6 Be 1.91

Summary:
Total magnetization ... 0.00 μB per cell
Calculated density ... 7.33 g cm⁻³
E_form (uncorrected) ... 0.016 eV per atom
SG ... Pm-3m

---

Record 2
Material: KBa2Cr
Method: DFT, SCAN
State: single point on PBEsol structure

a = 4.7402 Å, b = 4.5775 Å, c = 9.9270 Å
α = 90.00°, β = 103.76°, γ = 90.00°
Closest atoms and distances in Å follow each position.
Element x y z (fractional)
K 0.0000 0.0000 0.0000  2 Cr 3.70
Ba 0.3094 0.0000 0.6210  4 Cr 3.38
Ba 0.6669 0.5000 0.3341  1 Cr 3.51
Cr 0.8479 0.5000 0.6984  5 Ba 3.38-3.51, 2 K 3.70

Summary:
Total magnetization ... 4.96 μB per cell
Calculated density ... 2.90 g cm⁻³
E_form ... 0.415 eV per atom
SG ... Pm

---

Record 3
Material: ReGe2Se2
Method: DFT, SCAN
State: single point on PBEsol structure

a = 8.8445 Å, b = 8.8445 Å, c = 8.8445 Å
α = 157.69°, β = 157.69°, γ = 31.75°
Closest atoms and distances in Å follow each position.
Element x y z (fractional)
Re 0.0000 0.0000 0.0000  8 Ge 2.75
Ge 0.4229 0.4229 0.0000  1 Ge 2.62, 4 Re 2.75
Ge 0.5771 0.5771 0.0000  1 Ge 2.62, 4 Re 2.75
Se 0.2500 0.7500 0.5000  4 Se 2.42
Se 0.7500 0.2500 0.5000  4 Se 2.42

Summary:
Total magnetization ... 0.00 μB per cell
Calculated density ... 8.16 g cm⁻³
E_form (uncorrected) ... 0.739 eV per atom
SG ... I4/mmm

---

Record 4
Material: Cs2LiSnSb
Method: DFT, SCAN
State: single point on PBEsol structure

a = 7.3421 Å, b = 7.3421 Å, c = 5.5821 Å
α = 90.00°, β = 90.00°, γ = 90.00°
Closest atoms and distances in Å follow each position.
Element x y z (fractional)
Cs 0.0000 0.5000 0.0000  2 Sb 3.67
Cs 0.5000 0.0000 0.0000  2 Sb 3.67
Li 0.0000 0.0000 0.5000  8 Cs 4.61
Sn 0.5000 0.5000 0.5000  2 Sb 2.79
Sb 0.5000 0.5000 0.0000  2 Sn 2.79

Summary:
Total magnetization ... 0.00 μB per cell
Calculated density ... 2.83 g cm⁻³
E_form (uncorrected) ... 0.067 eV per atom
SG ... P4/mmm

---

Record 5
Material: Be2InP
Method: DFT, SCAN
State: single point on PBEsol structure

a = 3.2482 Å, b = 3.3626 Å, c = 5.8129 Å
α = 90.00°, β = 106.18°, γ = 90.00°
Closest atoms and distances in Å follow each position.
Element x y z (fractional)
Be 0.0000 0.0000 0.0000  2 Be 2.24, 4 P 2.34-2.35
Be 0.1344 0.5000 0.2657  2 P 2.09, 2 Be 2.24
In 0.3014 0.0000 0.6097  4 Be 2.55-2.73
P 0.5168 0.5000 0.0305  2 Be 2.09

Summary:
Total magnetization ... 0.00 μB per cell
Calculated density ... 4.46 g cm⁻³
E_form ... 0.155 eV per atom
SG ... Pm

---

Record 6
Material: MnAlOs2
Method: DFT, SCAN
State: single point on PBEsol structure

a = 2.7004 Å, b = 3.9991 Å, c = 5.1339 Å
α = 90.00°, β = 101.85°, γ = 90.00°
Closest atoms and distances in Å follow each position.
Element x y z (fractional)
Mn 0.0000 0.0000 0.0000  4 Os 2.46, 2 Al 2.57, 2 Mn 2.70
Al 0.0000 0.0000 0.5000  2 Mn 2.57, 2 Al 2.70, 8 Os 2.73-2.77
Os 0.3859 0.5000 0.2375  2 Mn 2.46, 4 Os 2.63-2.70, 2 Al 2.73
Os 0.6141 0.5000 0.7625  2 Mn 2.46, 4 Os 2.63-2.70, 2 Al 2.73

Summary:
Total magnetization ... 2.91 μB per cell
Calculated density ... 14.15 g cm⁻³
E_form ... -0.132 eV per atom
SG ... P2/m

---

Record 7
Material: Nd3Ge13Rh4
Method: DFT, SCAN
State: single point on PBEsol structure

a = 8.9854 Å, b = 8.9854 Å, c = 8.9854 Å
α = 90.00°, β = 90.00°, γ = 90.00°
Closest atoms and distances in Å follow each position.
Element x y z (fractional)
Nd 0.0000 0.2500 0.5000  12 Ge 3.14-3.21, 4 Rh 3.18
Nd 0.0000 0.7500 0.5000  12 Ge 3.14-3.21, 4 Rh 3.18
Nd 0.2500 0.5000 0.0000  12 Ge 3.14-3.21, 4 Rh 3.18
Nd 0.5000 0.0000 0.2500  12 Ge 3.14-3.21, 4 Rh 3.18
Nd 0.5000 0.0000 0.7500  12 Ge 3.14-3.21, 4 Rh 3.18
Nd 0.7500 0.5000 0.0000  12 Ge 3.14-3.21, 4 Rh 3.18
Ge 0.0000 0.0000 0.0000  12 Ge 3.04
Ge 0.0000 0.3046 0.1471  2 Rh 2.48, 1 Ge 2.64
Ge 0.0000 0.3046 0.8529  2 Rh 2.48, 1 Ge 2.64
Ge 0.0000 0.6954 0.1471  2 Rh 2.48, 1 Ge 2.64
Ge 0.0000 0.6954 0.8529  2 Rh 2.48, 1 Ge 2.64
Ge 0.1471 0.0000 0.3046  2 Rh 2.48, 1 Ge 2.64
Ge 0.1471 0.0000 0.6954  2 Rh 2.48, 1 Ge 2.64
Ge 0.1954 0.5000 0.3529  2 Rh 2.48, 1 Ge 2.64
Ge 0.1954 0.5000 0.6471  2 Rh 2.48, 1 Ge 2.64
Ge 0.3046 0.1471 0.0000  2 Rh 2.48, 1 Ge 2.64
Ge 0.3046 0.8529 0.0000  2 Rh 2.48, 1 Ge 2.64
Ge 0.3529 0.1954 0.5000  2 Rh 2.48, 1 Ge 2.64
Ge 0.3529 0.8046 0.5000  2 Rh 2.48, 1 Ge 2.64
Ge 0.5000 0.3529 0.1954  2 Rh 2.48, 1 Ge 2.64
Ge 0.5000 0.3529 0.8046  2 Rh 2.48, 1 Ge 2.64
Ge 0.5000 0.5000 0.5000  12 Ge 3.04
Ge 0.5000 0.6471 0.1954  2 Rh 2.48, 1 Ge 2.64
Ge 0.5000 0.6471 0.8046  2 Rh 2.48, 1 Ge 2.64
Ge 0.6471 0.1954 0.5000  2 Rh 2.48, 1 Ge 2.64
Ge 0.6471 0.8046 0.5000  2 Rh 2.48, 1 Ge 2.64
Ge 0.6954 0.1471 0.0000  2 Rh 2.48, 1 Ge 2.64
Ge 0.6954 0.8529 0.0000  2 Rh 2.48, 1 Ge 2.64
Ge 0.8046 0.5000 0.3529  2 Rh 2.48, 1 Ge 2.64
Ge 0.8046 0.5000 0.6471  2 Rh 2.48, 1 Ge 2.64
Ge 0.8529 0.0000 0.3046  2 Rh 2.48, 1 Ge 2.64
Ge 0.8529 0.0000 0.6954  2 Rh 2.48, 1 Ge 2.64
Rh 0.2500 0.2500 0.2500  6 Ge 2.48
Rh 0.2500 0.2500 0.7500  6 Ge 2.48
Rh 0.2500 0.7500 0.2500  6 Ge 2.48
Rh 0.2500 0.7500 0.7500  6 Ge 2.48
Rh 0.7500 0.2500 0.2500  6 Ge 2.48
Rh 0.7500 0.2500 0.7500  6 Ge 2.48
Rh 0.7500 0.7500 0.2500  6 Ge 2.48
Rh 0.7500 0.7500 0.7500  6 Ge 2.48

Summary:
Total magnetization ... 0.00 μB per cell
Calculated density ... 8.19 g cm⁻³
E_form ... -0.635 eV per atom
SG ... Pm-3n

---

Record 8
Material: AsHRhSe2
Method: DFT, SCAN
State: single point on PBEsol structure

a = 4.5638 Å, b = 4.5638 Å, c = 3.4499 Å
α = 90.00°, β = 90.00°, γ = 90.00°
Closest atoms and distances in Å follow each position.
Element x y z (fractional)
As 0.0000 0.0000 0.0000  2 H 1.72
H 0.0000 0.0000 0.5000  2 As 1.72
Rh 0.5000 0.5000 0.0000  8 Se 2.86
Se 0.0000 0.5000 0.5000  2 H 2.28
Se 0.5000 0.0000 0.5000  2 H 2.28

Summary:
Electronic total energy ... -94.29 eV/f.u.
Total magnetization ... 0.00 μB per cell
Calculated density ... 7.78 g cm⁻³
SG ... P4/mmm